A relaxed VPdO2 crystal. Source: the Alexandria database, functional PBE with a Hubbard U.

Calculated values
The size of the total moment comes out at 0.25 μB per atom. The value obtained for the energy above the most stable polymorph in this dataset is 0.360 eV per atom. For the total energy, the calculation gives -106.4 eV/cell. Its density of states at the Fermi level is 4.08 states/eV/cell.

a = 4.9284 Å, b = 4.9284 Å, c = 9.0597 Å
α = 90.00°, β = 90.00°, γ = 90.00°
Space group I-42d (No. 122)
Unique sites:
V: 0.0000 0.0000 0.0000 (multiplicity 4)
Pd: 0.0000 0.0000 0.5000 (multiplicity 4)
O: 0.1785 0.2500 0.1250 (multiplicity 8)